A plane-wave DFT calculation with PBE was carried out for Ba19Ag4Pt6 after structural relaxation.

Computed properties:
* E_form: -364 meV/atom
* symmetry: I23 (197)
* D(E_F): 21.28 states/eV/f.u.

```
Ba19Ag4Pt6
1.0
-6.382 8.645 5.821
-2.426 -10.898 4.972
11.945 2.374 1.018
Ba Pt Ag
19 6 4
Direct
0.347 0.347 0.000
0.347 0.000 0.347
0.602 0.371 0.341
0.030 0.261 0.659
0.653 0.000 0.653
0.768 0.398 0.739
0.653 0.653 0.000
0.000 0.653 0.653
0.000 0.000 0.000
0.261 0.659 0.030
0.000 0.347 0.347
0.341 0.602 0.371
0.398 0.739 0.768
0.232 0.970 0.629
0.629 0.232 0.970
0.739 0.768 0.398
0.970 0.629 0.232
0.659 0.030 0.261
0.371 0.341 0.602
0.834 0.334 0.500
0.666 0.500 0.166
0.334 0.500 0.834
0.500 0.834 0.334
0.166 0.666 0.500
0.500 0.166 0.666
0.000 0.000 0.724
0.724 0.000 0.000
0.000 0.724 0.000
0.276 0.276 0.276
```